1.
VASP calculation (PBE) on crystalline K4MnFe at its relaxed geometry.

a = 7.2691 Å, b = 7.2691 Å, c = 7.2691 Å
α = 60.00°, β = 60.00°, γ = 60.00°
With the nearest neighbours (Å) after each atom.
Element x y z (fractional)
K 0.1254 0.1254 0.1254  6 K 3.62-3.64
K 0.1254 0.1254 0.6239  6 K 3.62-3.64
K 0.1254 0.6239 0.1254  6 K 3.62-3.64
K 0.6239 0.1254 0.1254  6 K 3.62-3.64
Mn 0.7500 0.7500 0.7500  12 K 4.26, 4 Fe 4.45
Fe 0.5000 0.5000 0.5000  12 K 4.26, 4 Mn 4.45

Space-group type = F-43m
M_tot = 7.7 μB per formula unit
Calculated formation energy = 1.187 eV/atom
Fermi-level density of states = 2.0201 states/eV per atom



2.
VASP calculation (PBE) on crystalline La2SiNi3 at its relaxed geometry.

a = 8.1917 Å, b = 8.1887 Å, c = 5.8124 Å
α = 69.24°, β = 69.19°, γ = 41.57°
With the nearest neighbours (Å) after each atom.
Element x y z (fractional)
La 0.2432 0.7568 0.2432  10 Ni 3.13-3.15, 2 Si 3.16
La 0.2500 0.2500 0.2500  8 Ni 3.11-3.12, 4 Si 3.14
La 0.7500 0.7500 0.7500  8 Ni 3.11-3.12, 4 Si 3.14
La 0.7568 0.2432 0.7568  10 Ni 3.13-3.15, 2 Si 3.16
Si 0.3339 0.3339 0.6661  3 Ni 2.31-2.32
Si 0.6661 0.6661 0.3339  3 Ni 2.31-2.32
Ni 0.1702 0.1702 0.8298  1 Si 2.32, 2 Ni 2.43
Ni 0.1714 0.6585 0.8286  1 Si 2.31, 2 Ni 2.41-2.43
Ni 0.3415 0.8286 0.6585  1 Si 2.31, 2 Ni 2.41-2.43
Ni 0.6585 0.1714 0.3415  1 Si 2.31, 2 Ni 2.41-2.43
Ni 0.8286 0.3415 0.1714  1 Si 2.31, 2 Ni 2.41-2.43
Ni 0.8298 0.8298 0.1702  1 Si 2.32, 2 Ni 2.43

Space-group type = Fmmm
M_tot = 0.0 μB per formula unit
Energy relative to the elements, uncorrected = -499 meV/atom
Fermi-level density of states = 0.7692 states/eV per atom



- Which formula does entry 2 have?
  La2SiNi3